# 1
Here is a geometry-optimized TaOsW2 structure from Alexandria via LeMat-Bulk. Energies are from PBE-GGA.

a b c (Å): 2.7742 2.7742 8.8264
angles (deg): 90.00 90.00 106.74
Last column: nearest neighbours and their distance in Å.
Sites, in units of the cell vectors:
Os  0.5000  0.5000  0.2500  4 W 2.68, 4 Os 2.77
W  0.0000  0.0000  0.4892  2 Os 2.68, 4 W 2.77, 2 Ta 2.84
W  0.0000  0.0000  0.0108  2 Os 2.68, 4 W 2.77, 2 Ta 2.84
Ta  0.5000  0.5000  0.7500  4 Ta 2.77, 4 W 2.84

The calculation puts the energy above the lowest structure with this stoichiometry at 17.8 kJ per mole of atoms. Its crystal system is orthorhombic. As for the symmetry: Cmmm (65). The value obtained for the formation energy is 0.1269 eV per atom.

***

# 2
Here is a geometry-optimized Cs2LiCu2F6 structure from Alexandria via LeMat-Bulk. Energies are from PBE-GGA.

a b c (Å): 6.1898 6.3175 6.9182
angles (deg): 119.92 90.00 119.33
Last column: nearest neighbours and their distance in Å.
Sites, in units of the cell vectors:
Cu  0.0913  0.1826  0.2403  3 F 1.89-1.91
Cu  0.9087  0.8174  0.7597  3 F 1.89-1.91
Cs  0.2705  0.5410  0.8253  9 F 3.04-3.33, 1 Cu 3.34
Cs  0.7295  0.4590  0.1747  9 F 3.04-3.33, 1 Cu 3.34
F  0.7479  0.9951  0.7271  1 Cu 1.91
F  0.2717  0.5434  0.2663  1 Cu 1.89, 1 Li 2.07
F  0.2471  0.9951  0.7271  1 Cu 1.91
F  0.7529  0.0049  0.2729  1 Cu 1.91
F  0.2521  0.0049  0.2729  1 Cu 1.91
F  0.7283  0.4566  0.7337  1 Cu 1.89, 1 Li 2.07
Li  0.5000  0.0000  0.5000  6 F 2.07-2.22

The calculation puts the formation energy from raw total energies at -23.002 eV per formula unit. Its crystal system is monoclinic. As for the symmetry: C2/m (12).

***

# 3
Here is a geometry-optimized OsPbSe2 structure from Alexandria via LeMat-Bulk. Energies are from PBE-GGA.

a b c (Å): 6.1558 6.1558 5.2817
angles (deg): 57.06 57.06 34.83
Last column: nearest neighbours and their distance in Å.
Sites, in units of the cell vectors:
Pb  0.8261  0.8261  0.7512  3 Os 2.88-2.97, 3 Se 3.05-3.09
Se  0.9869  0.9869  0.0509  2 Os 2.49, 1 Se 2.75
Se  0.1441  0.1441  0.4173  2 Os 2.51, 1 Se 2.75
Os  0.5429  0.5429  0.2807  4 Se 2.49-2.51

The calculation puts the formation energy from raw total energies at 0.555 eV per formula unit. Its crystal system is monoclinic. As for the symmetry: Cm (8).

***

# 4
Here is a geometry-optimized YMgGe structure from Alexandria via LeMat-Bulk. Energies are from PBE-GGA.

a b c (Å): 4.7011 4.7011 4.7011
angles (deg): 60.00 60.00 60.00
Last column: nearest neighbours and their distance in Å.
Sites, in units of the cell vectors:
Mg  0.5000  0.5000  0.5000  4 Ge 2.88
Y  0.0000  0.0000  0.0000  4 Ge 2.88
Ge  0.2500  0.2500  0.2500  4 Y 2.88, 4 Mg 2.88

Its crystal system is cubic. As for the symmetry: F-43m (216). The value obtained for the formation energy is -0.4821 eV per atom.

***

# 5
Here is a geometry-optimized CsW3N structure from Alexandria via LeMat-Bulk. Energies are from PBE-GGA.

a b c (Å): 4.3518 4.3518 4.3518
angles (deg): 90.00 90.00 90.00
Last column: nearest neighbours and their distance in Å.
Sites, in units of the cell vectors:
W  0.0000  0.5000  0.0000  2 N 2.18
W  0.0000  0.0000  0.5000  2 N 2.18
W  0.5000  0.0000  0.0000  2 N 2.18
Cs  0.5000  0.5000  0.5000  12 W 3.08
N  0.0000  0.0000  0.0000  6 W 2.18

The calculation puts the formation energy from raw total energies at 8.683 eV per formula unit. The calculation puts the energy above the lowest structure with this stoichiometry at 0.0 kJ per mole of atoms. Its crystal system is cubic. As for the symmetry: Pm-3m (221).

***

# 6
Here is a geometry-optimized ScReSe2N structure from Alexandria via LeMat-Bulk. Energies are from PBE-GGA.

a b c (Å): 5.1899 5.1899 3.8587
angles (deg): 90.00 90.00 90.00
Last column: nearest neighbours and their distance in Å.
Sites, in units of the cell vectors:
Se  0.5000  0.0000  0.0000  2 Sc 2.59
Se  0.0000  0.5000  0.0000  2 Sc 2.59
Sc  0.0000  0.0000  0.0000  2 N 1.93
Re  0.5000  0.5000  0.5000  8 Se 3.23
N  0.0000  0.0000  0.5000  2 Sc 1.93

The calculation puts the formation energy from raw total energies at 4.690 eV per formula unit. The calculation puts the energy above the lowest structure with this stoichiometry at 106.4 kJ per mole of atoms. Its crystal system is tetragonal. As for the symmetry: P4/mmm (123).

***

# 7
Here is a geometry-optimized CuAu2Cl structure from Alexandria via LeMat-Bulk. Energies are from PBE-GGA.

a b c (Å): 3.0620 3.0620 8.7042
angles (deg): 90.00 90.00 117.78
Last column: nearest neighbours and their distance in Å.
Sites, in units of the cell vectors:
Au  0.5000  0.5000  0.2407  6 Au 2.82-3.06, 2 Cl 3.12
Au  0.0000  0.0000  0.9722  2 Cu 2.58, 2 Au 2.82
Cl  0.0000  0.0000  0.5495  2 Cu 2.28
Cu  0.5000  0.5000  0.7376  2 Cl 2.28

The calculation puts the formation energy from raw total energies at 0.215 eV per formula unit. The calculation puts the energy above the lowest structure with this stoichiometry at 8.6 kJ per mole of atoms. Its crystal system is orthorhombic. As for the symmetry: Cmm2 (35).

***

# 8
Here is a geometry-optimized TeAuSe2 structure from Alexandria via LeMat-Bulk. Energies are from PBE-GGA.

a b c (Å): 7.0835 7.0835 4.5922
angles (deg): 72.04 72.04 31.72
Last column: nearest neighbours and their distance in Å.
Sites, in units of the cell vectors:
Au  0.1895  0.1895  0.1604  2 Se 2.58, 2 Te 2.71
Te  0.5790  0.5790  0.5379  2 Au 2.71, 2 Se 2.99
Se  0.9413  0.9413  0.9791  1 Se 2.39
Se  0.7902  0.7902  0.8226  1 Se 2.39, 2 Au 2.58

The calculation puts the formation energy from raw total energies at 0.192 eV per formula unit. The calculation puts the energy above the lowest structure with this stoichiometry at 1.7 kJ per mole of atoms. Its crystal system is monoclinic. As for the symmetry: Cm (8).

***

# 9
Here is a geometry-optimized SrAc4Nd2 structure from Alexandria via LeMat-Bulk. Energies are from PBE-GGA.

a b c (Å): 3.9359 3.9359 22.5519
angles (deg): 84.99 84.99 60.00
Last column: nearest neighbours and their distance in Å.
Sites, in units of the cell vectors:
Nd  0.5704  0.5704  0.2889  6 Ac 3.77-3.84, 6 Nd 3.94
Nd  0.4296  0.4296  0.7111  6 Ac 3.77-3.84, 6 Nd 3.94
Ac  0.1423  0.1423  0.5730  3 Nd 3.84, 9 Ac 3.94-3.99
Ac  0.8577  0.8577  0.4270  3 Nd 3.84, 9 Ac 3.94-3.99
Ac  0.7182  0.7182  0.8454  3 Nd 3.77, 6 Ac 3.94, 3 Sr 4.15
Ac  0.2818  0.2818  0.1546  3 Nd 3.77, 6 Ac 3.94, 3 Sr 4.15
Sr  0.0000  0.0000  0.0000  6 Sr 3.94, 6 Ac 4.15

Its crystal system is trigonal. As for the symmetry: R-3m (166). The value obtained for the formation energy is 0.0378 eV per atom.

***

# 10
Here is a geometry-optimized Ca3ZrTl structure from Alexandria via LeMat-Bulk. Energies are from PBE-GGA.

a b c (Å): 5.8623 5.8623 5.8623
angles (deg): 90.00 90.00 90.00
Last column: nearest neighbours and their distance in Å.
Sites, in units of the cell vectors:
Tl  0.0000  0.0000  0.0000  6 Ca 2.93
Ca  0.0000  0.0000  0.5000  2 Tl 2.93
Ca  0.0000  0.5000  0.0000  2 Tl 2.93
Ca  0.5000  0.0000  0.0000  2 Tl 2.93
Zr  0.5000  0.5000  0.5000  12 Ca 4.15

The calculation puts the energy above the lowest structure with this stoichiometry at 0.0 kJ per mole of atoms. Its crystal system is cubic. As for the symmetry: Pm-3m (221). The value obtained for the formation energy is 0.5828 eV per atom.

***

# 11
Here is a geometry-optimized NdSm2YHo6 structure from Alexandria via LeMat-Bulk. Energies are from PBE-GGA.

a b c (Å): 9.6559 8.7929 8.7929
angles (deg): 118.23 94.27 94.27
Last column: nearest neighbours and their distance in Å.
Sites, in units of the cell vectors:
Ho  0.1842  0.5711  0.0218  2 Ho 3.22-3.56, 1 Sm 3.40, 1 Y 3.48
Ho  0.6198  0.4933  0.7073  4 Ho 3.22-3.50, 3 Sm 3.27-3.44, 2 Y 3.43-3.56
Ho  0.6842  0.0218  0.5711  2 Ho 3.22-3.56, 1 Sm 3.40, 1 Y 3.48
Ho  0.0572  0.1237  0.7438  8 Ho 3.39-3.80, 1 Sm 3.53, 1 Nd 3.69, 1 Y 3.78
Ho  0.1198  0.7073  0.4933  4 Ho 3.22-3.50, 3 Sm 3.27-3.44, 2 Y 3.43-3.56
Ho  0.8802  0.2927  0.5067  4 Ho 3.22-3.50, 3 Sm 3.27-3.44, 2 Y 3.43-3.56
Ho  0.9428  0.8763  0.2562  8 Ho 3.39-3.80, 1 Sm 3.53, 1 Nd 3.69, 1 Y 3.78
Ho  0.3802  0.5067  0.2927  4 Ho 3.22-3.50, 3 Sm 3.27-3.44, 2 Y 3.43-3.56
Ho  0.8158  0.4289  0.9782  2 Ho 3.22-3.56, 1 Sm 3.40, 1 Y 3.48
Ho  0.3158  0.9782  0.4289  2 Ho 3.22-3.56, 1 Sm 3.40, 1 Y 3.48
Ho  0.4428  0.2562  0.8763  8 Ho 3.39-3.80, 1 Sm 3.53, 1 Nd 3.69, 1 Y 3.78
Ho  0.5572  0.7438  0.1237  8 Ho 3.39-3.80, 1 Sm 3.53, 1 Nd 3.69, 1 Y 3.78
Sm  0.9567  0.7004  0.8045  6 Ho 3.27-3.63, 2 Nd 3.38-3.39, 1 Y 3.55
Sm  0.4567  0.8045  0.7004  6 Ho 3.27-3.63, 2 Nd 3.38-3.39, 1 Y 3.55
Sm  0.5433  0.1955  0.2996  6 Ho 3.27-3.63, 2 Nd 3.38-3.39, 1 Y 3.55
Sm  0.0433  0.2996  0.1955  6 Ho 3.27-3.63, 2 Nd 3.38-3.39, 1 Y 3.55
Y  0.2500  0.4078  0.5922  8 Ho 3.43-3.78, 2 Sm 3.55
Y  0.7500  0.5922  0.4078  8 Ho 3.43-3.78, 2 Sm 3.55
Nd  0.7500  0.0205  0.9795  4 Sm 3.38-3.39, 4 Ho 3.60-3.69
Nd  0.2500  0.9795  0.0205  4 Sm 3.38-3.39, 4 Ho 3.60-3.69

Its crystal system is monoclinic. As for the symmetry: C2/c (15). The value obtained for the formation energy is 0.1154 eV per atom.

***

# 12
Here is a geometry-optimized TmSc2SiC structure from Alexandria via LeMat-Bulk. Energies are from PBE-GGA.

a b c (Å): 4.6928 4.4489 4.4489
angles (deg): 90.00 90.00 90.00
Last column: nearest neighbours and their distance in Å.
Sites, in units of the cell vectors:
Si  0.5000  0.5000  0.5000  4 Tm 3.15, 8 Sc 3.23
C  0.0000  0.0000  0.0000  4 Sc 2.22, 2 Tm 2.35
Sc  0.0000  0.0000  0.5000  2 C 2.22
Sc  0.0000  0.5000  0.0000  2 C 2.22
Tm  0.5000  0.0000  0.0000  2 C 2.35

The calculation puts the formation energy from raw total energies at -3.085 eV per formula unit. Its crystal system is tetragonal. As for the symmetry: P4/mmm (123).